Record 1
## TaTeIr2 (PBE-GGA)

Data for TaTeIr2 after structural relaxation. Values from VASP.

Output
- calculated volume (Å³/cell) = 69.9
- crystal system = trigonal
- final energy (eV/atom) = -7.85
- theoretical density (g/cm3) = 16.47
- E_form (uncorrected) (meV/atom) = 332

Quantum ESPRESSO input file:
```
&SYSTEM
  ibrav = 0, nat = 4, ntyp = 3
/
ATOMIC_SPECIES
Ir 192.22 Ir.upf
Ta 180.95 Ta.upf
Te 127.60 Te.upf
CELL_PARAMETERS angstrom
9.0671 0.0026 0.0016
8.5662 2.9719 0.0016
8.5662 1.4450 2.5969
ATOMIC_POSITIONS angstrom
Ir 26.1987 4.4194 2.6000
Ir 6.5292 1.1014 0.6480
Ta 13.1979 2.2263 1.3098
Te 19.5728 3.3017 1.9424
```



Record 2
## TaTe2Ir (PBE-GGA)

Data for TaTe2Ir after structural relaxation. Values from VASP.

Output
- calculated volume (Å³/cell) = 98.8
- crystal system = tetragonal
- final energy (eV/atom) = -6.79
- theoretical density (g/cm3) = 10.56
- E_form (uncorrected) (meV/atom) = -38

Quantum ESPRESSO input file:
```
&SYSTEM
  ibrav = 0, nat = 4, ntyp = 3
/
ATOMIC_SPECIES
Ir 192.22 Ir.upf
Ta 180.95 Ta.upf
Te 127.60 Te.upf
CELL_PARAMETERS angstrom
3.6257 0.0000 0.0000
0.0000 3.6257 0.0000
0.0000 0.0000 7.5144
ATOMIC_POSITIONS angstrom
Ir 0.0000 0.0000 4.1299
Ta 1.8129 1.8129 5.2559
Te 0.0000 0.0000 6.7896
Te 1.8129 1.8129 2.6106
```



Record 3
## TaTeIr2 (PBE-GGA)

Data for TaTeIr2 after structural relaxation. Values from VASP.

Output
- calculated volume (Å³/cell) = 68.4
- crystal system = orthorhombic
- final energy (eV/atom) = -8.00
- theoretical density (g/cm3) = 16.83
- E_form (uncorrected) (meV/atom) = 178

Quantum ESPRESSO input file:
```
&SYSTEM
  ibrav = 0, nat = 4, ntyp = 3
/
ATOMIC_SPECIES
Ir 192.22 Ir.upf
Ta 180.95 Ta.upf
Te 127.60 Te.upf
CELL_PARAMETERS angstrom
-1.9353 1.1573 -2.9730
2.0895 -2.9715 -2.5169
-2.9529 -2.7859 0.8377
ATOMIC_POSITIONS angstrom
Ir 0.0000 0.0000 0.0000
Ir 0.0771 -0.9071 -2.7450
Ta -2.4441 -0.8143 -1.0676
Te -0.4317 -2.8787 -0.8396
```



Record 4
## TaTe2Ir (PBE-GGA)

Data for TaTe2Ir after structural relaxation. Values from VASP.

Output
- calculated volume (Å³/cell) = 82.3
- crystal system = cubic
- final energy (eV/atom) = -6.12
- theoretical density (g/cm3) = 12.67
- E_form (uncorrected) (meV/atom) = 634

Quantum ESPRESSO input file:
```
&SYSTEM
  ibrav = 0, nat = 4, ntyp = 3
/
ATOMIC_SPECIES
Ir 192.22 Ir.upf
Ta 180.95 Ta.upf
Te 127.60 Te.upf
CELL_PARAMETERS angstrom
4.8830 0.0000 0.0000
2.4415 4.2288 0.0000
2.4415 1.4096 3.9870
ATOMIC_POSITIONS angstrom
Ir 4.8830 2.8192 1.9935
Ta 2.4415 1.4096 0.9967
Te 0.0000 0.0000 0.0000
Te 7.3246 4.2288 2.9902
```



Record 5
## TaTeIr2 (PBE-GGA)

Data for TaTeIr2 after structural relaxation. Values from VASP.

Output
- calculated volume (Å³/cell) = 70.9
- crystal system = tetragonal
- final energy (eV/atom) = -7.95
- theoretical density (g/cm3) = 16.23
- E_form (uncorrected) (meV/atom) = 228

Quantum ESPRESSO input file:
```
&SYSTEM
  ibrav = 0, nat = 4, ntyp = 3
/
ATOMIC_SPECIES
Ir 192.22 Ir.upf
Ta 180.95 Ta.upf
Te 127.60 Te.upf
CELL_PARAMETERS angstrom
-1.1618 -0.6020 -4.7347
3.4537 -3.4694 -0.4063
-1.9711 -2.0493 0.7442
ATOMIC_POSITIONS angstrom
Ir 0.0000 0.0000 0.0000
Ir 1.1460 -2.0357 -2.5705
Ta -1.5664 -1.3256 -1.9953
Te 0.7413 -2.7594 0.1689
```



Record 6
## Ta2TeIr (PBE-GGA)

Data for Ta2TeIr after structural relaxation. Values from VASP.

Output
- calculated volume (Å³/cell) = 72.2
- crystal system = orthorhombic
- final energy (eV/atom) = -8.85
- theoretical density (g/cm3) = 15.67
- E_form (uncorrected) (meV/atom) = 76

Quantum ESPRESSO input file:
```
&SYSTEM
  ibrav = 0, nat = 4, ntyp = 3
/
ATOMIC_SPECIES
Ir 192.22 Ir.upf
Ta 180.95 Ta.upf
Te 127.60 Te.upf
CELL_PARAMETERS angstrom
-1.3938 -0.3313 -5.3051
-4.6376 -2.6602 -1.2700
2.1219 4.1611 2.8947
ATOMIC_POSITIONS angstrom
Ir -1.0784 1.1994 -2.7778
Ta -5.9288 -2.9406 -6.4633
Ta -2.8602 -0.0443 -0.9345
Te -3.0890 -1.5321 -3.3675
```



Record 7
## TaTe2Ir (PBE-GGA)

Data for TaTe2Ir after structural relaxation. Values from VASP.

Output
- calculated volume (Å³/cell) = 100.3
- crystal system = monoclinic
- final energy (eV/atom) = -6.87
- theoretical density (g/cm3) = 10.41
- E_form (uncorrected) (meV/atom) = -123

Quantum ESPRESSO input file:
```
&SYSTEM
  ibrav = 0, nat = 4, ntyp = 3
/
ATOMIC_SPECIES
Ir 192.22 Ir.upf
Ta 180.95 Ta.upf
Te 127.60 Te.upf
CELL_PARAMETERS angstrom
-2.1688 -0.1249 3.4311
1.8878 0.1462 3.5926
-0.5582 7.0034 2.2607
ATOMIC_POSITIONS angstrom
Ir -0.4328 3.7126 4.6366
Ta -0.6003 4.8295 6.9691
Te -0.5307 6.5787 2.2839
Te -0.2532 2.4196 2.2974
```



Record 8
## Ta4TeIr (PBE-GGA)

Data for Ta4TeIr after structural relaxation. Values from VASP.

Output
- calculated volume (Å³/cell) = 114.8
- crystal system = cubic
- final energy (eV/atom) = -9.42
- theoretical density (g/cm3) = 15.09
- E_form (uncorrected) (meV/atom) = 487

Quantum ESPRESSO input file:
```
&SYSTEM
  ibrav = 0, nat = 6, ntyp = 3
/
ATOMIC_SPECIES
Ta 180.95 Ta.upf
Te 127.60 Te.upf
Ir 192.22 Ir.upf
CELL_PARAMETERS angstrom
0.0000 3.8576 3.8576
3.8576 0.0000 3.8576
3.8576 3.8576 0.0000
ATOMIC_POSITIONS angstrom
Ta 2.8940 4.8211 4.8211
Ta 4.8211 4.8211 2.8940
Ta 4.8211 2.8940 4.8211
Ta 2.8940 2.8940 2.8940
Te 5.7863 5.7863 5.7863
Ir 0.0000 0.0000 0.0000
```